First-principles (GGA-PBE) data for a relaxed structure of Rb2BaYF8, as listed in Alexandria.

abc: 7.430 7.430 7.430
angles: 130.00 130.00 73.40
Fractional positions:
Rb1 0.000 0.000 0.000
Rb2 0.750 0.250 0.500
Ba1 0.500 0.500 0.000
Y1 0.250 0.750 0.500
F1 0.160 0.085 0.518
F2 0.160 0.642 0.075
F3 0.358 0.433 0.518
F4 0.358 0.840 0.925
F5 0.567 0.085 0.925
F6 0.567 0.642 0.482
F7 0.915 0.433 0.075
F8 0.915 0.840 0.482

Energy   -5.355 eV/atom
Magnetization   1.1 μB per formula unit
Energy relative to the elements, uncorrected   -3.247 eV/atom